# K2CoPbF8

An optimized crystal structure of K2CoPbF8 (GGA+U, Alexandria via LeMat-Bulk).

Lattice parameters (Å, degrees): 5.101 7.034 5.936 90.00 92.20 90.00
Space group P2/m (No. 10)
Symmetry-distinct sites (fractional):
K1 0.000 0.231 0.000 [2 per cell]
Co1 0.500 0.000 0.500 [1 per cell]
Pb1 0.500 0.500 0.500 [1 per cell]
F1 0.166 0.500 0.254 [2 per cell]
F2 0.216 0.000 0.305 [2 per cell]
F3 0.355 0.219 0.681 [4 per cell]

- electronic total energy (eV/atom) = -4.441
- D(E_F) (states/eV per cell) = 2.805